Here is a geometry-optimized Ag2WF7 structure from Alexandria. Energies are from PBE with a Hubbard U.

## Properties
electronic total energy: -184.772 eV for the cell shown

The structure in CIF format:
```
data_Ag2WF7
_chemical_formula_sum 'Ag8 W4 F28'
_space_group_name_H-M_alt 'C 1 2/c 1'
_space_group_IT_number 15
_space_group_name_Hall '-C 2yc'
_cell_length_a 13.1047
_cell_length_b 6.6244
_cell_length_c 9.1513
_cell_angle_alpha 90.00
_cell_angle_beta 128.30
_cell_angle_gamma 90.00
loop_
_atom_site_label
_atom_site_type_symbol
_atom_site_fract_x
_atom_site_fract_y
_atom_site_fract_z
Ag1 Ag 0.1879 0.0854 0.2816
W1 W 0.0000 0.3733 0.7500
F1 F 0.0000 0.0664 0.7500
F2 F 0.0887 0.3395 0.0189
F3 F 0.1194 0.3849 0.3672
F4 F 0.1581 0.2985 0.7780
```